The following is a DFT calculation (GGA-PBE) of an optimized crystal structure of VRuW.

Properties
DFT total energy: -10.55 eV/atom
Energy of formation from the pure elements: -9.3 kJ per mole of atoms
Offset from the most stable computed form: 0.0 meV per atom
Calculated density: 12.7 g/cm³

Lattice parameters (Å, degrees): 3.068 3.068 9.318 90.00 90.00 90.00
Element x y z (fractional)
V 0.750 0.750 0.243
Ru 0.750 0.750 0.900
V 0.250 0.250 0.757
W 0.250 0.250 0.415
Ru 0.250 0.250 0.100
W 0.750 0.750 0.585

The following is a DFT calculation (GGA-PBE) of an optimized crystal structure of Tl3AgH.

Properties
DFT total energy: -2.36 eV/atom
Calculated density: 10.3 g/cm³

Lattice parameters (Å, degrees): 4.890 4.890 4.890 90.00 90.00 90.00
Element x y z (fractional)
Tl 0.000 0.500 0.000
Tl 0.000 0.000 0.500
Tl 0.500 0.000 0.000
H 0.000 0.000 0.000
Ag 0.500 0.500 0.500

The following is a DFT calculation (GGA-PBE) of an optimized crystal structure of GdScMnAl.

Properties
DFT total energy: -8.41 eV/atom
Energy of formation from the pure elements: -7.7 kJ per mole of atoms
Calculated density: 5.5 g/cm³

Lattice parameters (Å, degrees): 4.937 4.937 4.937 60.00 60.00 60.00
Each line ends with the local moment (μB).
Element x y z (fractional)
Al 0.500 0.500 0.500  0.00
Gd 0.250 0.250 0.250  6.92
Sc 0.750 0.750 0.750  -0.32
Mn 0.000 0.000 0.000  3.44

The following is a DFT calculation (GGA-PBE) of an optimized crystal structure of TaTeN2F.

Properties
DFT total energy: -5.49 eV/atom
Energy relative to the elements, uncorrected: 1216 meV per atom
Offset from the most stable computed form: 1526.6 meV per atom
Calculated density: 8.0 g/cm³

Lattice parameters (Å, degrees): 4.249 4.249 4.074 90.00 90.00 90.00
Each line ends with the local moment (μB).
Element x y z (fractional)
N 0.500 0.000 0.000  -0.09
Te 0.000 0.000 0.000  -0.01
Ta 0.500 0.500 0.500  1.86
F 0.000 0.000 0.500  0.05
N 0.000 0.500 0.000  -0.09

The following is a DFT calculation (GGA-PBE) of an optimized crystal structure of Tb2Pr2Y6Th.

Properties
DFT total energy: -5.77 eV/atom
Energy of formation from the pure elements: 13.9 kJ per mole of atoms
Calculated density: 6.1 g/cm³

Lattice parameters (Å, degrees): 6.688 6.688 12.142 101.61 101.61 129.35
Element x y z (fractional)
Y 0.292 0.292 0.292
Y 0.135 0.438 0.786
Pr 0.135 0.865 0.000
Y 0.708 0.708 0.708
Th 0.000 0.000 0.500
Pr 0.865 0.135 0.000
Tb 0.298 0.702 0.500
Tb 0.702 0.298 0.500
Y 0.562 0.865 0.214
Y 0.865 0.562 0.214
Y 0.438 0.135 0.786

The following is a DFT calculation (GGA-PBE) of an optimized crystal structure of CaMg2Ag2.

Properties
DFT total energy: -2.38 eV/atom
Energy of formation from the pure elements: -19.2 kJ per mole of atoms
Offset from the most stable computed form: 26.4 meV per atom
Calculated density: 4.5 g/cm³

Lattice parameters (Å, degrees): 5.055 5.055 5.447 108.04 108.04 60.95
Element x y z (fractional)
Mg 0.755 0.255 0.670
Ca 0.500 0.000 0.000
Ag 0.116 0.616 0.758
Mg 0.245 0.745 0.330
Ag 0.884 0.384 0.242

The following is a DFT calculation (GGA-PBE) of an optimized crystal structure of KPtBr.

Properties
DFT total energy: -3.50 eV/atom
Energy relative to the elements, uncorrected: -566 meV per atom
Offset from the most stable computed form: 104.8 meV per atom
Calculated density: 5.2 g/cm³

Lattice parameters (Å, degrees): 19.321 8.979 8.979 148.78 158.90 21.10
Element x y z (fractional)
Pt 0.048 0.702 0.298
K 0.399 0.004 0.996
K 0.647 0.503 0.497
Pt 0.520 0.260 0.740
Br 0.902 0.999 0.001
Br 0.192 0.412 0.588

The following is a DFT calculation (GGA-PBE) of an optimized crystal structure of Pm2CoSi2Ni.

Properties
DFT total energy: -6.25 eV/atom
Energy relative to the elements, uncorrected: -709 meV per atom
Calculated density: 6.8 g/cm³

Lattice parameters (Å, degrees): 5.736 5.798 7.931 111.44 111.20 90.00
Each line ends with the local moment (μB).
Element x y z (fractional)
Si 0.836 0.088 0.177  0.00
Pm 0.092 0.342 0.684  0.01
Pm 0.908 0.658 0.316  0.01
Ni 0.000 0.750 0.000  0.12
Si 0.341 0.588 0.177  0.00
Pm 0.408 0.158 0.316  0.01
Ni 0.000 0.250 0.000  0.12
Pm 0.592 0.842 0.684  0.01
Co 0.500 0.750 0.000  0.69
Si 0.164 0.912 0.823  0.00
Si 0.659 0.412 0.823  0.00
Co 0.500 0.250 0.000  0.69